A relaxed CuTc2Se crystal, computed with PBE.

a = 6.182 Å, b = 6.182 Å, c = 6.182 Å
α = 90.00°, β = 90.00°, γ = 90.00°
Fractional positions:
1 Cu 0.000 0.000 0.000
2 Cu 0.000 0.500 0.500
3 Cu 0.500 0.000 0.500
4 Cu 0.500 0.500 0.000
5 Tc 0.000 0.000 0.500
6 Tc 0.000 0.500 0.000
7 Tc 0.250 0.250 0.250
8 Tc 0.250 0.750 0.750
9 Tc 0.500 0.000 0.000
10 Tc 0.500 0.500 0.500
11 Tc 0.750 0.250 0.750
12 Tc 0.750 0.750 0.250
13 Se 0.250 0.250 0.750
14 Se 0.250 0.750 0.250
15 Se 0.750 0.250 0.250
16 Se 0.750 0.750 0.750

## Properties
Uncorrected formation energy = 10.136 kcal/mol of atoms
Total DFT energy (no corrections) = -0.488 Ry per atom
Spin magnetization = 0.00 μB per formula unit
Calculated density = 9.516 Mg/m³

A relaxed H2AuSeO crystal, computed with PBE.

a = 3.561 Å, b = 3.561 Å, c = 4.584 Å
α = 90.00°, β = 90.00°, γ = 90.00°
Fractional positions:
1 H 0.000 0.500 0.000
2 H 0.500 0.000 0.000
3 Au 0.000 0.000 0.500
4 Se 0.500 0.500 0.000
5 O 0.500 0.500 0.500

## Properties
Total DFT energy (no corrections) = -0.235 Ry per atom
Spin magnetization = 0.00 μB per formula unit
Calculated density = 8.400 Mg/m³

A relaxed Th3Mg4Ru4 crystal, computed with PBE.

a = 8.804 Å, b = 8.804 Å, c = 8.804 Å
α = 155.05°, β = 125.68°, γ = 60.66°
Fractional positions:
1 Th 0.000 0.000 0.000
2 Th 0.387 0.887 0.500
3 Th 0.613 0.113 0.500
4 Mg 0.007 0.325 0.682
5 Mg 0.358 0.675 0.682
6 Mg 0.642 0.325 0.318
7 Mg 0.993 0.675 0.318
8 Ru 0.258 0.258 0.000
9 Ru 0.286 0.500 0.786
10 Ru 0.714 0.500 0.214
11 Ru 0.742 0.742 0.000

## Properties
Total DFT energy (no corrections) = -0.456 Ry per atom
Spin magnetization = 0.00 μB per formula unit
Energy of formation = -0.229 eV per atom
Calculated density = 8.562 Mg/m³

A relaxed Re2PtRhBr crystal, computed with PBE.

a = 4.759 Å, b = 4.759 Å, c = 4.769 Å
α = 90.00°, β = 90.00°, γ = 90.00°
Fractional positions:
1 Re 0.000 0.500 0.000
2 Re 0.500 0.000 0.000
3 Pt 0.000 0.000 0.500
4 Rh 0.500 0.500 0.000
5 Br 0.500 0.500 0.500

## Properties
Uncorrected formation energy = 51.112 kcal/mol of atoms
Total DFT energy (no corrections) = -0.425 Ry per atom
Spin magnetization = 3.47 μB per formula unit
Calculated density = 11.537 Mg/m³

Question: spin magnetization of number 3 (Th3Mg4Ru4)?
Answer: 0.00 μB per formula unit